Density functional theory data (PBE) for Lu3Pt after structural relaxation.

a = 6.919 Å, b = 9.242 Å, c = 6.346 Å
α = 90.00°, β = 90.00°, γ = 90.00°
Positions (direct):
Lu 0.817 0.059 0.318
Lu 0.476 0.250 0.623
Pt 0.392 0.750 0.956
Lu 0.524 0.750 0.377
Lu 0.317 0.059 0.182
Lu 0.976 0.250 0.877
Pt 0.608 0.250 0.044
Pt 0.892 0.750 0.544
Pt 0.108 0.250 0.456
Lu 0.817 0.441 0.318
Lu 0.683 0.941 0.818
Lu 0.317 0.441 0.182
Lu 0.183 0.941 0.682
Lu 0.024 0.750 0.123
Lu 0.183 0.559 0.682
Lu 0.683 0.559 0.818

Results
- Calculated total energy: -22.656 eV/f.u.
- Space-group type: No. 62
- V: 25.36 Å³/atom